(1)
{
  "formula": "CaHg2Pd2",
  "functional": "GGA-PBE",
  "state": "relaxed",
  "volume_a3_per_atom": 22.73,
  "formation_energy_mev_per_atom": -352,
  "space_group": "No. 139",
  "dos_at_fermi_per_ev_cell": 1.35,
  "lattice": [[-2.128, 2.128, 6.275], [2.128, -2.128, 6.275], [2.128, 2.128, -6.275]],
  "species": ["Ca", "Hg", "Hg", "Pd", "Pd"],
  "fractional_positions": [[0.000, 0.000, 0.000], [0.250, 0.750, 0.500], [0.750, 0.250, 0.500], [0.397, 0.397, 0.000], [0.603, 0.603, 0.000]]
}

(2)
{
  "formula": "Ti4MoIr",
  "functional": "GGA-PBE",
  "state": "relaxed",
  "volume_a3_per_atom": 18.69,
  "formation_energy_mev_per_atom": -1,
  "space_group": "No. 123",
  "dos_at_fermi_per_ev_cell": 6.75,
  "lattice": [[4.309, 0.000, 0.000], [0.000, 4.309, 0.000], [0.000, 0.000, 6.040]],
  "species": ["Ti", "Ti", "Ti", "Ti", "Mo", "Ir"],
  "fractional_positions": [[0.000, 0.500, 0.249], [0.000, 0.500, 0.751], [0.500, 0.000, 0.249], [0.500, 0.000, 0.751], [0.000, 0.000, 0.500], [0.500, 0.500, 0.000]]
}

(3)
{
  "formula": "HgTe2Pb",
  "functional": "GGA-PBE",
  "state": "relaxed",
  "volume_a3_per_atom": 31.20,
  "space_group": "No. 47",
  "dos_at_fermi_per_ev_cell": 1.27,
  "raw_formation_energy_ev_per_atom": -0.062,
  "lattice": [[3.311, 0.000, 0.000], [0.000, 5.855, 0.000], [0.000, 0.000, 6.437]],
  "species": ["Hg", "Te", "Te", "Pb"],
  "fractional_positions": [[0.000, 0.000, 0.000], [0.000, 0.000, 0.500], [0.500, 0.500, 0.000], [0.500, 0.500, 0.500]]
}